Record 1
DFT (GGA-PBE) results for TmHf3P after structural relaxation.

Summary:
E_tot = -8.244 eV/atom

Unit cell a=4.915 b=4.915 c=4.915 alpha=90.00 beta=90.00 gamma=90.00
Sites, in units of the cell vectors:
Tm1 0.000 0.000 0.000
Hf1 0.000 0.500 0.500
Hf2 0.500 0.000 0.500
Hf3 0.500 0.500 0.000
P1 0.500 0.500 0.500

=====

Record 2
DFT (GGA-PBE) results for Sc4CdNiN2 after structural relaxation.

Summary:
E_tot = -7.070 eV/atom

Unit cell a=3.201 b=3.201 c=14.101 alpha=90.00 beta=90.00 gamma=120.00
Sites, in units of the cell vectors:
Sc1 0.000 0.000 0.138
Sc2 0.000 0.000 0.862
Sc3 0.333 0.667 0.317
Sc4 0.333 0.667 0.683
Cd1 0.000 0.000 0.500
Ni1 0.333 0.667 0.000
N1 0.667 0.333 0.235
N2 0.667 0.333 0.765